# 1
DFT (GGA-PBE) results for a geometry-optimized TcPbO3 structure.

Values from the calculation:
VASP energy in eV/atom: -6.729

Unit cell a=6.4005 b=6.4005 c=13.1488 alpha=90.00 beta=90.00 gamma=120.00
Space group R-3c (No. 167, hexagonal axes)
One atom of each set of equivalent atoms:
Tc1 0.0000 0.0000 0.2500 [6 per cell]
Pb1 0.0000 0.0000 0.0000 [6 per cell]
O1 0.0000 0.2801 0.2500 [18 per cell]

=====

# 2
DFT (GGA-PBE) results for a geometry-optimized TcPbO3 structure.

Values from the calculation:
VASP energy in eV/atom: -6.952

Unit cell a=5.5154 b=5.5154 c=16.5706 alpha=90.00 beta=90.00 gamma=120.00
Space group R-3 (No. 148, hexagonal axes)
One atom of each set of equivalent atoms:
Tc1 0.0000 0.0000 0.1636 [6 per cell]
Pb1 0.0000 0.0000 0.3711 [6 per cell]
O1 0.0041 0.6267 0.4346 [18 per cell]

=====

# 3
DFT (GGA-PBE) results for a geometry-optimized TcPb3O6 structure.

Values from the calculation:
VASP energy in eV/atom: -6.353

Unit cell a=9.4235 b=12.5756 c=6.0483 alpha=90.00 beta=90.00 gamma=90.00
Space group Cmc2_1 (No. 36)
One atom of each set of equivalent atoms:
Tc1 0.0000 0.1971 0.0000 [4 per cell]
Pb1 0.0000 0.4023 0.5466 [4 per cell]
Pb2 0.2056 0.0902 0.5297 [8 per cell]
O1 0.0000 0.0562 0.9453 [4 per cell]
O2 0.0000 0.2150 0.2909 [4 per cell]
O3 0.1515 0.2588 0.8741 [8 per cell]
O4 0.1564 0.4936 0.2894 [8 per cell]

=====

# 4
DFT (GGA-PBE) results for a geometry-optimized TcPbO3 structure.

Values from the calculation:
VASP energy in eV/atom: -6.959

Unit cell a=4.0146 b=4.0146 c=3.9423 alpha=90.00 beta=90.00 gamma=90.00
Space group P4mm (No. 99)
One atom of each set of equivalent atoms:
Tc1 0.0000 0.0000 0.0000 [1 per cell]
Pb1 0.5000 0.5000 0.4663 [1 per cell]
O1 0.0000 0.0000 0.5029 [1 per cell]
O2 0.0000 0.5000 0.0146 [2 per cell]

=====

# 5
DFT (GGA-PBE) results for a geometry-optimized TcPbO3 structure.

Values from the calculation:
VASP energy in eV/atom: -6.969

Unit cell a=5.6600 b=5.6600 c=13.6354 alpha=90.00 beta=90.00 gamma=120.00
Space group R-3c (No. 167, hexagonal axes)
One atom of each set of equivalent atoms:
Tc1 0.0000 0.0000 0.0000 [6 per cell]
Pb1 0.0000 0.0000 0.2500 [6 per cell]
O1 0.0000 0.4486 0.2500 [18 per cell]

=====

# 6
DFT (GGA-PBE) results for a geometry-optimized TcPbO3 structure.

Values from the calculation:
VASP energy in eV/atom: -7.017

Unit cell a=10.3727 b=10.3727 c=10.3727 alpha=90.00 beta=90.00 gamma=90.00
Space group Fd-3m (No. 227, origin choice 2)
One atom of each set of equivalent atoms:
Tc1 0.0000 0.0000 0.0000 [16 per cell]
Pb1 0.0000 0.0000 0.5000 [16 per cell]
O1 0.0711 0.3750 0.3750 [48 per cell]

=====

# 7
DFT (GGA-PBE) results for a geometry-optimized ZnTcPb2O6 structure.

Values from the calculation:
VASP energy in eV/atom: -6.095
Polymorph energy (0 for the lowest one) in meV/atom: 0

Unit cell a=5.5542 b=5.5542 c=8.1235 alpha=90.00 beta=90.00 gamma=90.00
Space group I4/m (No. 87)
One atom of each set of equivalent atoms:
Zn1 0.0000 0.0000 0.0000 [2 per cell]
Tc1 0.0000 0.0000 0.5000 [2 per cell]
Pb1 0.0000 0.5000 0.2500 [4 per cell]
O1 0.0000 0.0000 0.2605 [4 per cell]
O2 0.1896 0.7095 0.5000 [8 per cell]

=====

# 8
DFT (GGA-PBE) results for a geometry-optimized ZnTcPb2O6 structure.

Values from the calculation:
VASP energy in eV/atom: -6.070
Polymorph energy (0 for the lowest one) in meV/atom: 25

Unit cell a=7.9531 b=7.9531 c=7.9531 alpha=90.00 beta=90.00 gamma=90.00
Space group Fm-3m (No. 225)
One atom of each set of equivalent atoms:
Zn1 0.0000 0.0000 0.0000 [4 per cell]
Tc1 0.0000 0.0000 0.5000 [4 per cell]
Pb1 0.2500 0.2500 0.2500 [8 per cell]
O1 0.0000 0.0000 0.2588 [24 per cell]

=====

# 9
DFT (GGA-PBE) results for a geometry-optimized Tm2TePbO6 structure.

Values from the calculation:
VASP energy in eV/atom: -6.707

Unit cell a=5.5497 b=5.7531 c=10.6585 alpha=90.00 beta=119.52 gamma=90.00
Space group P2_1/c (No. 14)
One atom of each set of equivalent atoms:
Tm1 0.2100 0.0587 0.2504 [4 per cell]
Te1 0.0000 0.0000 0.5000 [2 per cell]
Pb1 0.5000 0.0000 0.0000 [2 per cell]
O1 0.0668 0.2155 0.8881 [4 per cell]
O2 0.1756 0.6959 0.8987 [4 per cell]
O3 0.3969 0.1171 0.7051 [4 per cell]

=====

# 10
DFT (GGA-PBE) results for a geometry-optimized ZnTePbO structure.

Values from the calculation:
VASP energy in eV/atom: -4.048
Polymorph energy (0 for the lowest one) in meV/atom: 1

Unit cell a=4.1788 b=14.0815 c=6.3619 alpha=90.00 beta=90.00 gamma=90.00
Space group Cmc2_1 (No. 36)
One atom of each set of equivalent atoms:
Zn1 0.0000 0.0432 0.0000 [4 per cell]
Te1 0.0000 0.3516 0.3549 [4 per cell]
Pb1 0.0000 0.3394 0.8562 [4 per cell]
O1 0.0000 0.0659 0.3088 [4 per cell]

=====

# 11
DFT (GGA-PBE) results for a geometry-optimized ZnTePbO structure.

Values from the calculation:
VASP energy in eV/atom: -3.976
Polymorph energy (0 for the lowest one) in meV/atom: 73

Unit cell a=4.2096 b=4.2096 c=37.8265 alpha=90.00 beta=90.00 gamma=120.00
Space group R-3m (No. 166, hexagonal axes)
One atom of each set of equivalent atoms:
Zn1 0.0000 0.0000 0.1901 [6 per cell]
Te1 0.0000 0.0000 0.1159 [6 per cell]
Pb1 0.0000 0.0000 0.3693 [6 per cell]
O1 0.0000 0.0000 0.3096 [6 per cell]

=====

# 12
DFT (GGA-PBE) results for a geometry-optimized ZnTePbO structure.

Values from the calculation:
VASP energy in eV/atom: -4.044
Polymorph energy (0 for the lowest one) in meV/atom: 5

Unit cell a=6.3880 b=9.3645 c=6.1890 alpha=90.00 beta=90.00 gamma=90.00
Space group Pca2_1 (No. 29)
One atom of each set of equivalent atoms:
Zn1 0.1116 0.0518 0.0000 [4 per cell]
Te1 0.0177 0.6736 0.6040 [4 per cell]
Pb1 0.0230 0.3156 0.6080 [4 per cell]
O1 0.1102 0.0544 0.6632 [4 per cell]

=====

# 13
DFT (GGA-PBE) results for a geometry-optimized ZnTePbO structure.

Values from the calculation:
VASP energy in eV/atom: -3.854
Polymorph energy (0 for the lowest one) in meV/atom: 195

Unit cell a=3.3130 b=15.0383 c=7.2128 alpha=90.00 beta=90.00 gamma=90.00
Space group Cmc2_1 (No. 36)
One atom of each set of equivalent atoms:
Zn1 0.0000 0.1727 0.0000 [4 per cell]
Te1 0.0000 0.1724 0.3807 [4 per cell]
Pb1 0.0000 0.4753 0.1548 [4 per cell]
O1 0.0000 0.3905 0.4316 [4 per cell]

=====

# 14
DFT (GGA-PBE) results for a geometry-optimized ZnTePbO structure.

Values from the calculation:
VASP energy in eV/atom: -3.425
Polymorph energy (0 for the lowest one) in meV/atom: 624

Unit cell a=4.6635 b=4.6635 c=8.4971 alpha=90.00 beta=90.00 gamma=90.00
Space group P4/nmm (No. 129, origin choice 2)
One atom of each set of equivalent atoms:
Zn1 0.2500 0.2500 0.2433 [2 per cell]
Te1 0.2500 0.2500 0.7984 [2 per cell]
Pb1 0.2500 0.7500 0.5000 [2 per cell]
O1 0.2500 0.2500 0.0235 [2 per cell]

=====

# 15
DFT (GGA-PBE) results for a geometry-optimized ZnTePbO structure.

Values from the calculation:
VASP energy in eV/atom: -3.891
Polymorph energy (0 for the lowest one) in meV/atom: 158

Unit cell a=10.9326 b=20.0139 c=3.4048 alpha=90.00 beta=90.00 gamma=90.00
Space group Pbam (No. 55)
One atom of each set of equivalent atoms:
Zn1 0.0591 0.0930 0.0000 [4 per cell]
Zn2 0.0614 0.6115 0.0000 [4 per cell]
Te1 0.2395 0.5208 0.0000 [4 per cell]
Te2 0.2433 0.7214 0.0000 [4 per cell]
Pb1 0.0048 0.2406 0.5000 [4 per cell]
Pb2 0.2445 0.3811 0.5000 [4 per cell]
O1 0.0164 0.8856 0.5000 [4 per cell]
O2 0.0209 0.3715 0.5000 [4 per cell]

=====

# 16
DFT (GGA-PBE) results for a geometry-optimized ZnTePbO structure.

Values from the calculation:
VASP energy in eV/atom: -3.539
Polymorph energy (0 for the lowest one) in meV/atom: 511

Unit cell a=3.1444 b=25.9067 c=5.1940 alpha=90.00 beta=90.00 gamma=90.00
Space group Cmcm (No. 63)
One atom of each set of equivalent atoms:
Zn1 0.0000 0.0000 0.0000 [4 per cell]
Te1 0.0000 0.2074 0.2500 [4 per cell]
Pb1 0.0000 0.3928 0.7500 [4 per cell]
O1 0.0000 0.4796 0.2500 [4 per cell]

=====

# 17
DFT (GGA-PBE) results for a geometry-optimized ZnTePbO structure.

Values from the calculation:
VASP energy in eV/atom: -3.974
Polymorph energy (0 for the lowest one) in meV/atom: 76

Unit cell a=6.4328 b=12.4832 c=10.2263 alpha=90.00 beta=90.00 gamma=90.00
Space group Pbca (No. 61)
One atom of each set of equivalent atoms:
Zn1 0.0543 0.1594 0.2209 [8 per cell]
Te1 0.1447 0.1607 0.6086 [8 per cell]
Pb1 0.1888 0.0739 0.8863 [8 per cell]
O1 0.2049 0.5864 0.2831 [8 per cell]

=====

# 18
DFT (GGA-PBE) results for a geometry-optimized ZnTePbO structure.

Values from the calculation:
VASP energy in eV/atom: -3.705
Polymorph energy (0 for the lowest one) in meV/atom: 344

Unit cell a=5.2766 b=5.2766 c=7.3923 alpha=90.00 beta=90.00 gamma=90.00
Space group P4/nmm (No. 129, origin choice 2)
One atom of each set of equivalent atoms:
Zn1 0.2500 0.2500 0.1418 [2 per cell]
Te1 0.2500 0.7500 0.0000 [2 per cell]
Pb1 0.2500 0.2500 0.6776 [2 per cell]
O1 0.2500 0.2500 0.3955 [2 per cell]

=====

# 19
DFT (GGA-PBE) results for a geometry-optimized ZnTePbO structure.

Values from the calculation:
VASP energy in eV/atom: -3.992
Polymorph energy (0 for the lowest one) in meV/atom: 57

Unit cell a=4.1556 b=4.1556 c=11.6409 alpha=90.00 beta=90.00 gamma=90.00
Space group P4/nmm (No. 129, origin choice 2)
One atom of each set of equivalent atoms:
Zn1 0.2500 0.7500 0.0000 [2 per cell]
Te1 0.2500 0.2500 0.1487 [2 per cell]
Pb1 0.2500 0.2500 0.5983 [2 per cell]
O1 0.2500 0.7500 0.5000 [2 per cell]

=====

# 20
DFT (GGA-PBE) results for a geometry-optimized ZnTePbO structure.

Values from the calculation:
VASP energy in eV/atom: -3.843
Polymorph energy (0 for the lowest one) in meV/atom: 206

Unit cell a=3.8985 b=3.8985 c=11.9767 alpha=90.00 beta=90.00 gamma=90.00
Space group P4/nmm (No. 129, origin choice 2)
One atom of each set of equivalent atoms:
Zn1 0.2500 0.7500 0.0000 [2 per cell]
Te1 0.2500 0.2500 0.1531 [2 per cell]
Pb1 0.2500 0.2500 0.6066 [2 per cell]
O1 0.2500 0.2500 0.4231 [2 per cell]